# 1
DFT (PBE) results for UCuSnOs after structural relaxation.

Results
The calculation puts the density of states at the Fermi level at 1.34 states/eV per atom. The crystal system is cubic. The total moment comes out at 0.4087 μB per atom. For the formation energy, the calculation gives 0.124 eV per atom.

Cell: 4.7237 4.7237 4.7237 Å, 60.00 60.00 60.00°
Atoms (fractional coordinates):
1 U 0.0000 0.0000 0.0000
2 Cu 0.2500 0.2500 0.2500
3 Sn 0.5000 0.5000 0.5000
4 Os 0.7500 0.7500 0.7500


# 2
DFT (PBE) results for ZrCuSnOs after structural relaxation.

Results
The calculation puts the density of states at the Fermi level at 0.73 states/eV per atom. The crystal system is cubic. The total moment comes out at 0.0000 μB per atom. For the formation energy, the calculation gives -0.160 eV per atom.

Cell: 4.6093 4.6093 4.6093 Å, 60.00 60.00 60.00°
Atoms (fractional coordinates):
1 Zr 0.0000 0.0000 0.0000
2 Cu 0.2500 0.2500 0.2500
3 Sn 0.5000 0.5000 0.5000
4 Os 0.7500 0.7500 0.7500